a | Entry from Alexandria: a relaxed Ho2ScGa6 crystal (PBE).

a = 4.226 Å, b = 6.781 Å, c = 7.826 Å
α = 115.67°, β = 105.66°, γ = 90.00°
Positions (direct):
Ga 0.686 0.494 0.372
Ga 0.314 0.122 0.628
Sc 0.000 0.500 0.000
Ho 0.876 0.876 0.753
Ga 0.314 0.506 0.628
Ga 0.500 0.203 0.000
Ga 0.686 0.878 0.372
Ho 0.124 0.124 0.247
Ga 0.500 0.797 0.000

Values from the calculation:
M_tot: 0.00 μB per formula unit


b | Entry from Alexandria: a relaxed Ho2ScGa6 crystal (PBE).

a = 3.699 Å, b = 7.429 Å, c = 7.429 Å
α = 120.00°, β = 90.00°, γ = 90.00°
Positions (direct):
Ga 0.500 0.669 0.000
Ga 0.500 0.331 0.331
Ho 0.000 0.333 0.667
Ga 0.500 0.331 0.000
Ga 0.500 0.669 0.669
Ga 0.500 0.000 0.669
Ho 0.000 0.667 0.333
Ga 0.500 0.000 0.331
Sc 0.000 0.000 0.000

Values from the calculation:
M_tot: 0.00 μB per formula unit


Which of them is the most stable, and which is the least stable? b and a, in that order.


a | Entry from Alexandria: a relaxed Ho2GaSe crystal (PBE).

a = 3.938 Å, b = 3.938 Å, c = 7.631 Å
α = 75.05°, β = 75.05°, γ = 60.00°
Positions (direct):
Se 0.000 0.000 0.000
Ga 0.500 0.500 0.500
Ho 0.749 0.749 0.754
Ho 0.251 0.251 0.246

Values from the calculation:
M_tot: 0.00 μB per formula unit


b | Entry from Alexandria: a relaxed Ho2GaSe crystal (PBE).

a = 3.827 Å, b = 3.827 Å, c = 8.051 Å
α = 76.25°, β = 76.25°, γ = 60.00°
Positions (direct):
Se 0.499 0.499 0.503
Ho 0.250 0.250 0.251
Ga 0.667 0.667 0.998
Ho 0.084 0.084 0.748

Values from the calculation:
M_tot: 0.00 μB per formula unit


c | Entry from Alexandria: a relaxed Ho2GaSe crystal (PBE).

a = 4.016 Å, b = 4.227 Å, c = 11.317 Å
α = 100.76°, β = 90.00°, γ = 90.00°
Positions (direct):
Se 0.750 0.807 0.614
Ho 0.250 0.322 0.645
Ho 0.750 0.934 0.869
Ho 0.250 0.066 0.131
Se 0.250 0.193 0.386
Ho 0.750 0.678 0.355
Ga 0.750 0.540 0.080
Ga 0.250 0.460 0.920

Values from the calculation:
M_tot: 0.00 μB per formula unit


Which of them is the most stable, and which is the least stable? c and b, in that order.


a | Entry from Alexandria: a relaxed Ho5GaSi2 crystal (PBE).

a = 5.571 Å, b = 6.231 Å, c = 14.498 Å
α = 90.00°, β = 90.00°, γ = 116.55°
Positions (direct):
Ho 0.927 0.853 0.611
Ho 0.073 0.147 0.389
Ho 0.634 0.267 0.941
Ho 0.366 0.733 0.059
Ho 0.073 0.147 0.111
Si 0.821 0.643 0.427
Ho 0.634 0.267 0.559
Ho 0.927 0.853 0.889
Ho 0.281 0.563 0.750
Ho 0.366 0.733 0.441
Si 0.179 0.357 0.927
Ga 0.720 0.440 0.750
Ga 0.280 0.560 0.250
Si 0.179 0.357 0.573
Ho 0.719 0.437 0.250
Si 0.821 0.643 0.073

Values from the calculation:
M_tot: 0.00 μB per formula unit


b | Entry from Alexandria: a relaxed Ho5GaSi2 crystal (PBE).

a = 7.521 Å, b = 7.521 Å, c = 8.695 Å
α = 115.63°, β = 115.63°, γ = 90.00°
Positions (direct):
Si 0.876 0.624 0.000
Si 0.624 0.124 0.000
Ga 0.250 0.250 0.500
Si 0.124 0.376 0.000
Ho 0.971 0.471 0.286
Ho 0.315 0.815 0.286
Ho 0.029 0.529 0.714
Ho 0.000 0.000 0.000
Ho 0.815 0.971 0.286
Ga 0.750 0.750 0.500
Ho 0.685 0.185 0.714
Ho 0.185 0.029 0.714
Ho 0.471 0.315 0.286
Ho 0.529 0.685 0.714
Si 0.376 0.876 0.000
Ho 0.500 0.500 0.000

Values from the calculation:
M_tot: 0.00 μB per formula unit


Which of them is the most stable, and which is the least stable? b and a, in that order.


a | Entry from Alexandria: a relaxed Sm2HoGa crystal (PBE).

a = 4.799 Å, b = 4.762 Å, c = 4.762 Å
α = 90.00°, β = 90.00°, γ = 90.00°
Positions (direct):
Ga 0.500 0.000 0.000
Ho 0.500 0.500 0.500
Sm 0.000 0.500 0.000
Sm 0.000 0.000 0.500

Values from the calculation:
M_tot: 0.01 μB per formula unit


b | Entry from Alexandria: a relaxed Sm2HoGa crystal (PBE).

a = 3.571 Å, b = 3.571 Å, c = 8.983 Å
α = 90.00°, β = 90.00°, γ = 90.00°
Positions (direct):
Ho 0.500 0.500 0.500
Sm 0.000 0.000 0.788
Ga 0.500 0.500 0.000
Sm 0.000 0.000 0.212

Values from the calculation:
M_tot: 0.00 μB per formula unit


Which of them is the most stable, and which is the least stable? b and a, in that order.


a | Entry from Alexandria: a relaxed Sm2HoGa crystal (PBE).

a = 5.380 Å, b = 5.380 Å, c = 5.380 Å
α = 60.00°, β = 60.00°, γ = 60.00°
Last column: magnetic moment on the atom in μB.
Positions (direct):
Ho 0.500 0.500 0.500  0.05
Sm 0.750 0.750 0.750  0.03
Sm 0.250 0.250 0.250  0.03
Ga 0.000 0.000 0.000  0.00

Values from the calculation:
M_tot: 0.17 μB per formula unit


b | Entry from Alexandria: a relaxed Sm2HoGa crystal (PBE).

a = 3.662 Å, b = 6.665 Å, c = 9.841 Å
α = 90.00°, β = 90.00°, γ = 105.93°
Positions (direct):
Ga 0.257 0.515 0.250
Ho 0.056 0.111 0.750
Ho 0.944 0.889 0.250
Sm 0.635 0.270 0.048
Ga 0.743 0.485 0.750
Sm 0.365 0.730 0.548
Sm 0.635 0.270 0.452
Sm 0.365 0.730 0.952

Values from the calculation:
M_tot: 0.00 μB per formula unit


Which of them is the most stable, and which is the least stable? b and a, in that order.


a | Entry from Alexandria: a relaxed Sm3HoGa4 crystal (PBE).

a = 3.624 Å, b = 3.624 Å, c = 14.521 Å
α = 90.00°, β = 90.00°, γ = 90.00°
Positions (direct):
Sm 0.500 0.500 0.500
Ga 0.000 0.000 0.883
Sm 0.500 0.500 0.246
Ga 0.000 0.000 0.373
Ga 0.000 0.000 0.117
Sm 0.500 0.500 0.754
Ga 0.000 0.000 0.627
Ho 0.500 0.500 0.000

Values from the calculation:
M_tot: 0.00 μB per formula unit


b | Entry from Alexandria: a relaxed Sm3HoGa4 crystal (PBE).

a = 3.690 Å, b = 6.790 Å, c = 9.254 Å
α = 111.52°, β = 101.50°, γ = 90.00°
Positions (direct):
Ga 0.628 0.822 0.256
Sm 0.202 0.202 0.405
Ho 0.500 0.000 0.000
Sm 0.798 0.798 0.595
Ga 0.372 0.178 0.744
Sm 0.000 0.500 0.000
Ga 0.628 0.435 0.256
Ga 0.372 0.565 0.744

Values from the calculation:
M_tot: 0.00 μB per formula unit


Which of them is the most stable, and which is the least stable? a and b, in that order.


a | Entry from Alexandria: a relaxed Sm3HoGa2 crystal (PBE).

a = 5.077 Å, b = 6.601 Å, c = 9.594 Å
α = 90.00°, β = 90.00°, γ = 90.00°
Positions (direct):
Ga 0.000 0.795 0.354
Sm 0.000 0.976 0.048
Sm 0.500 0.682 0.177
Ho 0.500 0.022 0.448
Sm 0.500 0.182 0.823
Sm 0.000 0.317 0.331
Ho 0.500 0.522 0.552
Sm 0.000 0.476 0.952
Ga 0.000 0.295 0.646
Sm 0.000 0.817 0.669
Ga 0.500 0.708 0.853
Ga 0.500 0.208 0.147

Values from the calculation:
M_tot: 0.00 μB per formula unit


b | Entry from Alexandria: a relaxed Sm3HoGa2 crystal (PBE).

a = 4.536 Å, b = 10.032 Å, c = 9.222 Å
α = 124.67°, β = 90.00°, γ = 103.07°
Positions (direct):
Ga 0.233 0.466 0.751
Ga 0.505 0.010 0.867
Sm 0.044 0.087 0.398
Ho 0.882 0.765 0.906
Sm 0.320 0.641 0.569
Sm 0.956 0.913 0.602
Sm 0.680 0.359 0.431
Ho 0.118 0.235 0.094
Ga 0.767 0.534 0.249
Sm 0.651 0.302 0.823
Ga 0.495 0.990 0.133
Sm 0.349 0.698 0.177

Values from the calculation:
M_tot: 0.00 μB per formula unit


Which of them is the most stable, and which is the least stable? a and b, in that order.


a | Entry from Alexandria: a relaxed SmHoGa4 crystal (PBE).

a = 4.229 Å, b = 4.229 Å, c = 8.303 Å
α = 90.00°, β = 90.00°, γ = 120.00°
Positions (direct):
Ga 0.667 0.333 0.244
Ho 0.000 0.000 0.000
Sm 0.000 0.000 0.500
Ga 0.333 0.667 0.244
Ga 0.333 0.667 0.756
Ga 0.667 0.333 0.756

Values from the calculation:
M_tot: 0.00 μB per formula unit


b | Entry from Alexandria: a relaxed SmHoGa4 crystal (PBE).

a = 5.541 Å, b = 5.541 Å, c = 5.541 Å
α = 60.00°, β = 60.00°, γ = 60.00°
Positions (direct):
Ho 0.250 0.250 0.250
Ga 0.625 0.625 0.125
Ga 0.625 0.125 0.625
Sm 0.000 0.000 0.000
Ga 0.125 0.625 0.625
Ga 0.625 0.625 0.625

Values from the calculation:
M_tot: 0.00 μB per formula unit


Which of them is the most stable, and which is the least stable? a and b, in that order.


a | Entry from Alexandria: a relaxed SmHoTlGa crystal (PBE).

a = 3.636 Å, b = 3.636 Å, c = 7.756 Å
α = 90.00°, β = 90.00°, γ = 90.00°
Positions (direct):
Tl 0.000 0.000 0.849
Sm 0.500 0.500 0.125
Ga 0.000 0.000 0.365
Ho 0.500 0.500 0.590

Values from the calculation:
M_tot: 0.00 μB per formula unit


b | Entry from Alexandria: a relaxed SmHoTlGa crystal (PBE).

a = 5.264 Å, b = 5.264 Å, c = 5.264 Å
α = 60.00°, β = 60.00°, γ = 60.00°
Positions (direct):
Ho 0.000 0.000 0.000
Tl 0.750 0.750 0.750
Sm 0.500 0.500 0.500
Ga 0.250 0.250 0.250

Values from the calculation:
M_tot: 0.00 μB per formula unit


Which of them is the most stable, and which is the least stable? a and b, in that order.


a | Entry from Alexandria: a relaxed HoGaSn2 crystal (PBE).

a = 4.713 Å, b = 4.508 Å, c = 4.508 Å
α = 90.00°, β = 90.00°, γ = 90.00°
Positions (direct):
Ga 0.500 0.500 0.500
Ho 0.500 0.000 0.000
Sn 0.000 0.500 0.000
Sn 0.000 0.000 0.500

Values from the calculation:
M_tot: 0.00 μB per formula unit


b | Entry from Alexandria: a relaxed HoGaSn2 crystal (PBE).

a = 4.459 Å, b = 4.459 Å, c = 9.569 Å
α = 90.00°, β = 90.00°, γ = 90.00°
Positions (direct):
Ga 0.000 0.000 0.000
Ho 0.500 0.000 0.753
Sn 0.000 0.000 0.500
Sn 0.000 0.500 0.792
Ga 0.500 0.500 0.000
Sn 0.500 0.000 0.208
Ho 0.000 0.500 0.247
Sn 0.500 0.500 0.500

Values from the calculation:
M_tot: 0.00 μB per formula unit


Which of them is the most stable, and which is the least stable? a and b, in that order.


a | Entry from Alexandria: a relaxed HoGaSn2 crystal (PBE).

a = 4.419 Å, b = 4.413 Å, c = 5.797 Å
α = 112.37°, β = 112.40°, γ = 90.00°
Positions (direct):
Ga 0.500 0.500 0.000
Sn 0.250 0.750 0.500
Ho 0.000 0.000 0.000
Sn 0.750 0.250 0.500

Values from the calculation:
M_tot: 0.00 μB per formula unit


b | Entry from Alexandria: a relaxed HoGaSn2 crystal (PBE).

a = 4.956 Å, b = 4.956 Å, c = 8.140 Å
α = 72.28°, β = 72.28°, γ = 60.00°
Positions (direct):
Ga 0.000 0.000 0.000
Sn 0.884 0.884 0.347
Sn 0.116 0.116 0.653
Ho 0.500 0.500 0.500

Values from the calculation:
M_tot: 0.00 μB per formula unit


c | Entry from Alexandria: a relaxed HoGaSn2 crystal (PBE).

a = 4.466 Å, b = 4.466 Å, c = 6.866 Å
α = 71.02°, β = 71.02°, γ = 60.00°
Positions (direct):
Ga 0.498 0.498 0.507
Sn 0.245 0.245 0.266
Ho 0.667 0.667 0.998
Sn 0.090 0.090 0.729

Values from the calculation:
M_tot: 0.00 μB per formula unit


Which of them is the most stable, and which is the least stable? a and b, in that order.


a | Entry from Alexandria: a relaxed Ho2GaSn4 crystal (PBE).

a = 4.410 Å, b = 4.410 Å, c = 9.347 Å
α = 90.00°, β = 90.00°, γ = 90.00°
Positions (direct):
Sn 0.000 0.000 0.500
Sn 0.000 0.500 0.820
Sn 0.500 0.000 0.180
Ho 0.500 0.000 0.765
Ho 0.000 0.500 0.235
Sn 0.500 0.500 0.500
Ga 0.500 0.500 0.000

Values from the calculation:
M_tot: 0.00 μB per formula unit


b | Entry from Alexandria: a relaxed Ho2GaSn4 crystal (PBE).

a = 6.294 Å, b = 6.294 Å, c = 6.478 Å
α = 119.27°, β = 119.27°, γ = 89.64°
Positions (direct):
Sn 0.286 0.286 0.071
Ho 0.786 0.286 0.571
Sn 0.286 0.786 0.071
Ga 0.786 0.786 0.572
Ho 0.286 0.786 0.571
Sn 0.786 0.786 0.072
Sn 0.786 0.286 0.071

Values from the calculation:
M_tot: 0.00 μB per formula unit


Which of them is the most stable, and which is the least stable? b and a, in that order.